K2YMo, relaxed, DFT PBE; total magnetic moment = 1.7 μB per formula unit; E_form = 1.07 eV/atom; energy above the most stable polymorph in this dataset = 0.291 eV/atom; E = -3.80 eV per atom; space group = Imm2
1.0
-4.8197 -5.9084 -1.3603
2.5797 -6.7321 -2.8307
-0.7196 5.5741 5.3292
Y Mo K
1 1 2
direct
0.3139 0.8139 0.5000
0.4747 0.4747 0.0000
0.7075 0.2075 0.5000
0.0039 0.0039 0.0000